#1
# Tb3Er6Tm

A relaxed Tb3Er6Tm crystal (PBE, Alexandria via LeMat-Bulk).

Output
* Fermi-level density of states: 31.48 states/eV per cell
* space group: No. 36

Lattice parameters (Å, degrees): 6.298 11.425 11.425 130.96 90.00 90.00
Sites, in units of the cell vectors:
Tb: 0.489 0.959 0.703
Tb: 0.989 0.703 0.959
Tb: 0.092 0.421 0.579
Tb: 0.592 0.579 0.421
Tb: 0.989 0.041 0.297
Tb: 0.489 0.297 0.041
Er: 0.066 0.745 0.621
Er: 0.566 0.621 0.745
Er: 0.329 0.457 0.895
Er: 0.829 0.895 0.457
Er: 0.320 0.986 0.014
Er: 0.789 0.301 0.699
Er: 0.289 0.699 0.301
Er: 0.820 0.014 0.986
Er: 0.329 0.105 0.543
Er: 0.829 0.543 0.105
Er: 0.066 0.379 0.255
Er: 0.566 0.255 0.379
Tm: 0.017 0.161 0.839
Tm: 0.517 0.839 0.161

#2
# Tb3Er6Tm

A relaxed Tb3Er6Tm crystal (PBE, Alexandria via LeMat-Bulk).

Output
* Fermi-level density of states: 29.24 states/eV per cell
* space group: No. 36

Lattice parameters (Å, degrees): 6.131 10.849 10.849 119.76 90.00 90.00
Sites, in units of the cell vectors:
Tb: 0.458 0.939 0.721
Tb: 0.958 0.721 0.939
Tb: 0.069 0.391 0.609
Tb: 0.569 0.609 0.391
Tb: 0.958 0.061 0.279
Tb: 0.458 0.279 0.061
Er: 0.035 0.712 0.617
Er: 0.535 0.617 0.712
Er: 0.362 0.539 0.959
Er: 0.862 0.959 0.539
Er: 0.420 0.952 0.048
Er: 0.641 0.283 0.717
Er: 0.141 0.717 0.283
Er: 0.920 0.048 0.952
Er: 0.362 0.041 0.461
Er: 0.862 0.461 0.041
Er: 0.035 0.383 0.288
Er: 0.535 0.288 0.383
Tm: 0.147 0.208 0.792
Tm: 0.647 0.792 0.208

Relative energies, in meV per atom, with the most stable structure set to zero: #1 0; #2 27.

#1
# Tb6Er8Tm

A relaxed Tb6Er8Tm crystal (PBE, Alexandria via LeMat-Bulk).

Output
* Fermi-level density of states: 21.68 states/eV per cell
* space group: No. 147

Lattice parameters (Å, degrees): 6.464 9.306 9.306 120.00 90.00 90.00
Sites, in units of the cell vectors:
Tb: 0.593 0.680 0.091
Tb: 0.593 0.909 0.589
Tb: 0.593 0.411 0.320
Tb: 0.407 0.320 0.909
Tb: 0.407 0.091 0.411
Tb: 0.407 0.589 0.680
Er: 0.899 0.977 0.310
Er: 0.899 0.690 0.667
Er: 0.899 0.333 0.023
Er: 0.101 0.023 0.690
Er: 0.101 0.310 0.333
Er: 0.101 0.667 0.977
Er: 0.838 0.333 0.667
Er: 0.162 0.667 0.333
Tm: 0.500 0.000 0.000

#2
# Tb6Er8Tm

A relaxed Tb6Er8Tm crystal (PBE, Alexandria via LeMat-Bulk).

Output
* Fermi-level density of states: 22.43 states/eV per cell
* space group: No. 148

Lattice parameters (Å, degrees): 8.953 8.953 8.547 58.41 58.41 60.00
Sites, in units of the cell vectors:
Tb: 0.459 0.890 0.875
Tb: 0.110 0.224 0.125
Tb: 0.224 0.541 0.125
Tb: 0.776 0.459 0.875
Tb: 0.890 0.776 0.875
Tb: 0.541 0.110 0.125
Er: 0.721 0.110 0.425
Er: 0.890 0.257 0.575
Er: 0.257 0.279 0.575
Er: 0.577 0.577 0.270
Er: 0.423 0.423 0.730
Er: 0.743 0.721 0.425
Er: 0.110 0.743 0.425
Er: 0.279 0.890 0.575
Tm: 0.000 0.000 0.000

Relative energies, in meV per atom, with the most stable structure set to zero: #1 119; #2 0.

#1
# TbEr2Tm9

A relaxed TbEr2Tm9 crystal (PBE, Alexandria via LeMat-Bulk).

Output
* Fermi-level density of states: 24.82 states/eV per cell
* space group: No. 123

Lattice parameters (Å, degrees): 5.805 5.805 10.858 90.00 90.00 90.00
Sites, in units of the cell vectors:
Tb: 0.000 0.000 0.000
Er: 0.000 0.000 0.333
Er: 0.000 0.000 0.667
Tm: 0.500 0.500 0.000
Tm: 0.500 0.500 0.333
Tm: 0.500 0.500 0.667
Tm: 0.500 0.000 0.168
Tm: 0.500 0.000 0.500
Tm: 0.500 0.000 0.832
Tm: 0.000 0.500 0.168
Tm: 0.000 0.500 0.500
Tm: 0.000 0.500 0.832

#2
# TbEr2Tm9

A relaxed TbEr2Tm9 crystal (PBE, Alexandria via LeMat-Bulk).

Output
* Fermi-level density of states: 18.52 states/eV per cell
* space group: No. 191

Lattice parameters (Å, degrees): 3.453 11.031 11.031 120.00 90.00 90.00
Sites, in units of the cell vectors:
Tb: 0.000 0.000 0.000
Er: 0.000 0.333 0.667
Er: 0.000 0.667 0.333
Tm: 0.000 0.000 0.500
Tm: 0.000 0.500 0.500
Tm: 0.000 0.500 0.000
Tm: 0.500 0.355 0.177
Tm: 0.500 0.177 0.823
Tm: 0.500 0.177 0.355
Tm: 0.500 0.823 0.645
Tm: 0.500 0.823 0.177
Tm: 0.500 0.645 0.823

Relative energies, in meV per atom, with the most stable structure set to zero: #1 79; #2 0.